VASP calculation (PBE) on a geometry-optimized CaNi2Ag structure. Values from VASP.

```
&SYSTEM
  ibrav = 0, nat = 4, ntyp = 3
/
ATOMIC_SPECIES
Ni 58.69 Ni.upf
Ag 107.87 Ag.upf
Ca 40.08 Ca.upf
CELL_PARAMETERS angstrom
3.883 0.000 0.000
0.000 3.837 0.002
0.000 1.935 4.820
ATOMIC_POSITIONS angstrom
Ni 0.000 0.723 0.046
Ag 0.000 2.642 1.986
Ni 1.941 0.717 1.243
Ca 1.941 4.575 3.958
```

## Properties
Symmetry   Pm (6)
ΔH_f (0 K)   104.3 meV per atom



VASP calculation (PBE) on a geometry-optimized CaNiAg structure. Values from VASP.

```
&SYSTEM
  ibrav = 0, nat = 6, ntyp = 3
/
ATOMIC_SPECIES
Ca 40.08 Ca.upf
Ni 58.69 Ni.upf
Ag 107.87 Ag.upf
CELL_PARAMETERS angstrom
-2.090 3.529 0.008
-4.489 -2.659 -0.108
2.116 -1.144 5.911
ATOMIC_POSITIONS angstrom
Ca -1.123 -0.669 1.407
Ca -3.341 0.394 4.403
Ni -3.522 -2.092 2.566
Ag -0.261 -0.166 4.855
Ag -4.202 -0.108 0.956
Ni -0.942 1.818 3.245
```

## Properties
Symmetry   C2/m (12)
ΔH_f (0 K)   -146.7 meV per atom



VASP calculation (PBE) on a geometry-optimized CaNiAgPb structure. Values from VASP.

```
&SYSTEM
  ibrav = 0, nat = 4, ntyp = 4
/
ATOMIC_SPECIES
Pb 207.20 Pb.upf
Ni 58.69 Ni.upf
Ag 107.87 Ag.upf
Ca 40.08 Ca.upf
CELL_PARAMETERS angstrom
4.907 0.000 0.000
2.453 4.250 0.000
2.453 1.417 4.007
ATOMIC_POSITIONS angstrom
Pb 4.907 2.833 2.003
Ni 7.360 4.250 3.005
Ag 2.453 1.417 1.002
Ca 0.000 0.000 0.000
```

## Properties
Symmetry   F-43m (216)
ΔH_f (0 K)   -80.2 meV per atom



VASP calculation (PBE) on a geometry-optimized CaPmNiAg structure. Values from VASP.

```
&SYSTEM
  ibrav = 0, nat = 4, ntyp = 4
/
ATOMIC_SPECIES
Pm 145.00 Pm.upf
Ca 40.08 Ca.upf
Ag 107.87 Ag.upf
Ni 58.69 Ni.upf
CELL_PARAMETERS angstrom
5.076 0.000 0.000
2.538 4.396 0.000
2.538 1.465 4.144
ATOMIC_POSITIONS angstrom
Pm 2.538 1.465 1.036
Ca 7.613 4.396 3.108
Ag 5.076 2.930 2.072
Ni 0.000 0.000 0.000
```

## Properties
Symmetry   F-43m (216)
ΔH_f (0 K)   -184.6 meV per atom



VASP calculation (PBE) on a geometry-optimized CaPrNiAg structure. Values from VASP.

```
&SYSTEM
  ibrav = 0, nat = 4, ntyp = 4
/
ATOMIC_SPECIES
Ca 40.08 Ca.upf
Ni 58.69 Ni.upf
Pr 140.91 Pr.upf
Ag 107.87 Ag.upf
CELL_PARAMETERS angstrom
5.119 0.000 0.000
2.559 4.433 0.000
2.559 1.478 4.179
ATOMIC_POSITIONS angstrom
Ca 5.119 2.955 2.090
Ni 7.678 4.433 3.134
Pr 0.000 0.000 0.000
Ag 2.559 1.478 1.045
```

## Properties
Symmetry   F-43m (216)
ΔH_f (0 K)   -170.9 meV per atom



VASP calculation (PBE) on a geometry-optimized CaRe2NiAg structure. Values from VASP.

```
&SYSTEM
  ibrav = 0, nat = 5, ntyp = 4
/
ATOMIC_SPECIES
Ag 107.87 Ag.upf
Re 186.21 Re.upf
Ni 58.69 Ni.upf
Ca 40.08 Ca.upf
CELL_PARAMETERS angstrom
4.485 0.000 0.000
0.000 5.081 0.000
0.000 0.000 4.485
ATOMIC_POSITIONS angstrom
Ag 2.243 2.541 2.243
Re 2.243 0.000 0.000
Ni 0.000 0.000 0.000
Ca 0.000 2.541 0.000
Re 0.000 0.000 2.243
```

## Properties
Symmetry   P4/mmm (123)
ΔH_f (0 K)   1280.5 meV per atom



VASP calculation (PBE) on a geometry-optimized Ca2Ni3AgSb4 structure. Values from VASP.

```
&SYSTEM
  ibrav = 0, nat = 10, ntyp = 4
/
ATOMIC_SPECIES
Ni 58.69 Ni.upf
Ca 40.08 Ca.upf
Sb 121.76 Sb.upf
Ag 107.87 Ag.upf
CELL_PARAMETERS angstrom
4.500 0.000 0.000
0.000 4.500 0.000
0.000 0.000 10.577
ATOMIC_POSITIONS angstrom
Ni 2.250 0.000 9.314
Ca 0.000 2.250 7.896
Sb 2.250 0.000 6.821
Sb 2.250 2.250 0.000
Ni 0.000 0.000 5.289
Ca 2.250 0.000 2.682
Sb 0.000 2.250 3.756
Sb 0.000 0.000 0.000
Ni 0.000 2.250 1.263
Ag 2.250 2.250 5.289
```

## Properties
Symmetry   P-4m2 (115)
Uncorrected formation energy   -452 meV/atom



VASP calculation (PBE) on a geometry-optimized SrCa2NiAg structure. Values from VASP.

```
&SYSTEM
  ibrav = 0, nat = 5, ntyp = 4
/
ATOMIC_SPECIES
Ni 58.69 Ni.upf
Ca 40.08 Ca.upf
Sr 87.62 Sr.upf
Ag 107.87 Ag.upf
CELL_PARAMETERS angstrom
-4.777 0.970 2.153
-1.970 -4.317 -2.425
1.300 -2.965 4.221
ATOMIC_POSITIONS angstrom
Ni 0.000 0.000 0.000
Ca -2.388 0.485 1.077
Sr -2.723 -3.155 1.975
Ca -0.985 -2.158 -1.212
Ag 0.650 -1.482 2.110
```

## Properties
Symmetry   P4/mmm (123)
ΔH_f (0 K)   17.8 meV per atom



VASP calculation (PBE) on a geometry-optimized SrCa2NiAg structure. Values from VASP.

```
&SYSTEM
  ibrav = 0, nat = 5, ntyp = 4
/
ATOMIC_SPECIES
Ni 58.69 Ni.upf
Ca 40.08 Ca.upf
Ag 107.87 Ag.upf
Sr 87.62 Sr.upf
CELL_PARAMETERS angstrom
5.347 0.000 0.000
0.000 5.347 0.000
0.000 0.000 5.703
ATOMIC_POSITIONS angstrom
Ni 0.000 0.000 0.000
Ca 0.000 2.674 0.000
Ag 2.674 2.674 2.851
Ca 2.674 0.000 0.000
Sr 0.000 0.000 2.851
```

## Properties
Symmetry   P4/mmm (123)
ΔH_f (0 K)   -4.7 meV per atom



VASP calculation (PBE) on a geometry-optimized SrCaNiAg structure. Values from VASP.

```
&SYSTEM
  ibrav = 0, nat = 4, ntyp = 4
/
ATOMIC_SPECIES
Sr 87.62 Sr.upf
Ca 40.08 Ca.upf
Ag 107.87 Ag.upf
Ni 58.69 Ni.upf
CELL_PARAMETERS angstrom
5.230 0.000 0.000
2.615 4.530 0.000
2.615 1.510 4.271
ATOMIC_POSITIONS angstrom
Sr 5.230 3.020 2.135
Ca 0.000 0.000 0.000
Ag 2.615 1.510 1.068
Ni 7.846 4.530 3.203
```

## Properties
Symmetry   F-43m (216)
ΔH_f (0 K)   -55.0 meV per atom



VASP calculation (PBE) on a geometry-optimized CaTbNiAg structure. Values from VASP.

```
&SYSTEM
  ibrav = 0, nat = 4, ntyp = 4
/
ATOMIC_SPECIES
Ca 40.08 Ca.upf
Ni 58.69 Ni.upf
Tb 158.93 Tb.upf
Ag 107.87 Ag.upf
CELL_PARAMETERS angstrom
5.010 0.000 0.000
2.505 4.339 0.000
2.505 1.446 4.091
ATOMIC_POSITIONS angstrom
Ca 7.515 4.339 3.068
Ni 5.010 2.893 2.045
Tb 2.505 1.446 1.023
Ag 0.000 0.000 0.000
```

## Properties
Symmetry   F-43m (216)
ΔH_f (0 K)   -204.0 meV per atom



VASP calculation (PBE) on a geometry-optimized CaThNiAg structure. Values from VASP.

```
&SYSTEM
  ibrav = 0, nat = 4, ntyp = 4
/
ATOMIC_SPECIES
Ag 107.87 Ag.upf
Th 232.04 Th.upf
Ni 58.69 Ni.upf
Ca 40.08 Ca.upf
CELL_PARAMETERS angstrom
5.087 0.000 0.000
2.543 4.405 0.000
2.543 1.468 4.153
ATOMIC_POSITIONS angstrom
Ag 2.543 1.468 1.038
Th 0.000 0.000 0.000
Ni 7.630 4.405 3.115
Ca 5.087 2.937 2.077
```

## Properties
Symmetry   F-43m (216)
ΔH_f (0 K)   -116.2 meV per atom



VASP calculation (PBE) on a geometry-optimized CaVNi2Ag structure. Values from VASP.

```
&SYSTEM
  ibrav = 0, nat = 5, ntyp = 4
/
ATOMIC_SPECIES
Ca 40.08 Ca.upf
Ag 107.87 Ag.upf
Ni 58.69 Ni.upf
V 50.94 V.upf
CELL_PARAMETERS angstrom
4.510 0.000 0.000
0.000 5.004 0.000
0.000 0.000 4.510
ATOMIC_POSITIONS angstrom
Ca 0.000 0.000 0.000
Ag 0.000 2.502 0.000
Ni 2.255 0.000 0.000
V 2.255 2.502 2.255
Ni 0.000 0.000 2.255
```

## Properties
Symmetry   P4/mmm (123)
ΔH_f (0 K)   1681.7 meV per atom



VASP calculation (PBE) on a geometry-optimized CaYNiAg structure. Values from VASP.

```
&SYSTEM
  ibrav = 0, nat = 4, ntyp = 4
/
ATOMIC_SPECIES
Ni 58.69 Ni.upf
Ca 40.08 Ca.upf
Ag 107.87 Ag.upf
Y 88.91 Y.upf
CELL_PARAMETERS angstrom
5.008 0.000 0.000
2.504 4.337 0.000
2.504 1.446 4.089
ATOMIC_POSITIONS angstrom
Ni 5.008 2.891 2.044
Ca 2.504 1.446 1.022
Ag 0.000 0.000 0.000
Y 7.512 4.337 3.067
```

## Properties
Symmetry   F-43m (216)
ΔH_f (0 K)   -207.5 meV per atom



VASP calculation (PBE) on a geometry-optimized CaNpAg2S4 structure. Values from VASP.

```
&SYSTEM
  ibrav = 0, nat = 8, ntyp = 4
/
ATOMIC_SPECIES
S 32.06 S.upf
Ag 107.87 Ag.upf
Np 237.00 Np.upf
Ca 40.08 Ca.upf
CELL_PARAMETERS angstrom
5.408 0.003 0.000
-0.003 5.408 0.000
-2.702 -2.705 6.096
ATOMIC_POSITIONS angstrom
S 0.000 0.000 3.231
S 2.702 2.705 2.865
S 2.704 0.001 5.724
Ag 0.000 0.000 0.000
Ag -0.001 2.704 3.048
Np 2.704 0.001 3.048
S 2.704 0.001 0.372
Ca 2.702 2.705 0.000
```

## Properties
Symmetry   I-4m2 (119)
Uncorrected formation energy   -998 meV/atom



VASP calculation (PBE) on a geometry-optimized Ca3Np3AgS8 structure. Values from VASP.

```
&SYSTEM
  ibrav = 0, nat = 15, ntyp = 4
/
ATOMIC_SPECIES
Ag 107.87 Ag.upf
Ca 40.08 Ca.upf
Np 237.00 Np.upf
S 32.06 S.upf
CELL_PARAMETERS angstrom
7.863 -0.001 -0.001
-3.932 6.809 -0.023
-0.001 -4.515 6.562
ATOMIC_POSITIONS angstrom
Ag 0.000 -2.257 3.281
Ca 0.000 0.000 0.000
Np 1.965 1.147 3.269
Np -1.966 1.147 3.270
S 3.931 0.018 4.884
S 3.931 2.217 1.690
S 0.000 2.275 1.654
Np 3.931 -2.258 3.281
S -0.001 0.077 4.848
Ca -1.966 3.404 -0.012
S -1.912 3.391 4.840
Ca 1.965 3.404 -0.012
S 2.017 -1.099 1.701
S 1.913 3.392 4.837
S 5.842 -1.097 1.698
```

## Properties
Symmetry   R-3m (166)
Uncorrected formation energy   -1455 meV/atom



VASP calculation (PBE) on a geometry-optimized Ca2NpAg3S6 structure. Values from VASP.

```
&SYSTEM
  ibrav = 0, nat = 12, ntyp = 4
/
ATOMIC_SPECIES
Ca 40.08 Ca.upf
S 32.06 S.upf
Np 237.00 Np.upf
Ag 107.87 Ag.upf
CELL_PARAMETERS angstrom
7.121 -0.089 0.193
-3.636 6.123 0.193
-0.998 -1.728 6.046
ATOMIC_POSITIONS angstrom
Ca -0.103 4.083 0.193
S 0.162 0.280 4.792
Np 0.000 0.000 0.000
S 2.173 -0.077 1.538
Ag -2.705 4.434 3.217
S 3.640 2.463 4.895
Ag 5.192 -0.127 3.217
S -1.153 1.843 1.538
Ag 1.243 2.153 3.217
Ca 3.588 1.951 0.193
S 2.325 4.026 1.641
S 0.314 4.383 4.895
```

## Properties
Symmetry   C2/m (12)
Uncorrected formation energy   -1021 meV/atom



VASP calculation (PBE) on a geometry-optimized Ca3Np3AgSe8 structure. Values from VASP.

```
&SYSTEM
  ibrav = 0, nat = 15, ntyp = 4
/
ATOMIC_SPECIES
Np 237.00 Np.upf
Se 78.96 Se.upf
Ag 107.87 Ag.upf
Ca 40.08 Ca.upf
CELL_PARAMETERS angstrom
-0.477 3.039 7.616
4.468 -6.733 -1.463
2.675 7.387 -2.780
ATOMIC_POSITIONS angstrom
Np 3.333 1.847 1.687
Se 0.366 4.116 4.974
Se 6.299 -0.422 -1.600
Ag 1.337 3.693 -1.390
Se 4.114 2.869 -0.887
Se 3.874 4.449 2.897
Np 1.099 5.213 2.418
Ca 0.000 0.000 0.000
Ca 2.234 -3.366 -0.732
Se 6.066 1.062 2.120
Se 0.600 2.631 1.254
Ca 1.995 -1.847 3.077
Np 3.571 0.327 -2.121
Se 2.551 0.824 4.261
Se 2.791 -0.756 0.476
```

## Properties
Symmetry   R-3m (166)
Uncorrected formation energy   -1300 meV/atom



VASP calculation (PBE) on a geometry-optimized Ca3Np3AgTe8 structure. Values from VASP.

```
&SYSTEM
  ibrav = 0, nat = 15, ntyp = 4
/
ATOMIC_SPECIES
Np 237.00 Np.upf
Te 127.60 Te.upf
Ca 40.08 Ca.upf
Ag 107.87 Ag.upf
CELL_PARAMETERS angstrom
-1.855 2.218 8.314
5.084 -6.988 -1.661
3.196 8.213 -1.478
ATOMIC_POSITIONS angstrom
Np 3.212 1.721 2.588
Te 6.962 -0.287 -0.672
Te 6.046 0.809 3.435
Te 3.541 4.323 4.297
Te 4.437 3.171 0.144
Te 1.988 0.271 5.031
Np 0.670 5.216 3.418
Ca 2.542 -3.494 -0.831
Te 0.379 2.634 1.740
Np 4.140 0.612 -1.570
Te 2.884 -0.880 0.878
Ca 1.614 -2.385 3.326
Te -0.538 3.729 5.847
Ca 0.000 0.000 0.000
Ag 1.598 4.107 -0.739
```

## Properties
Symmetry   C2/m (12)
Uncorrected formation energy   -897 meV/atom



VASP calculation (PBE) on a geometry-optimized CaNpAg2Te4 structure. Values from VASP.

```
&SYSTEM
  ibrav = 0, nat = 8, ntyp = 4
/
ATOMIC_SPECIES
Ag 107.87 Ag.upf
Te 127.60 Te.upf
Np 237.00 Np.upf
Ca 40.08 Ca.upf
CELL_PARAMETERS angstrom
7.773 0.000 0.000
3.887 5.641 0.086
3.887 0.549 5.615
ATOMIC_POSITIONS angstrom
Ag 3.887 2.050 1.888
Te 9.709 2.929 5.336
Te 5.838 5.559 2.482
Np 0.000 0.000 0.000
Te 9.709 3.260 0.365
Te 5.838 0.631 3.219
Ag 11.660 4.140 3.814
Ca 7.773 3.095 2.851
```

## Properties
Symmetry   I222 (23)
Uncorrected formation energy   -461 meV/atom



VASP calculation (PBE) on a geometry-optimized CaNpAgTe3 structure. Values from VASP.

```
&SYSTEM
  ibrav = 0, nat = 12, ntyp = 4
/
ATOMIC_SPECIES
Ca 40.08 Ca.upf
Np 237.00 Np.upf
Te 127.60 Te.upf
Ag 107.87 Ag.upf
CELL_PARAMETERS angstrom
4.354 0.000 0.000
0.000 8.556 -0.089
0.000 -2.333 9.939
ATOMIC_POSITIONS angstrom
Ca 3.265 5.104 7.144
Np 1.088 5.413 1.592
Te 3.265 1.151 5.152
Te 1.088 -1.396 8.503
Ag 1.088 -0.635 5.792
Te 1.088 3.030 8.375
Ag 3.265 6.857 4.059
Ca 1.088 1.119 2.707
Te 3.265 7.619 1.348
Te 1.088 5.071 4.699
Np 3.265 0.810 8.258
Te 3.265 3.192 1.476
```

## Properties
Symmetry   P2_1/m (11)
Uncorrected formation energy   -818 meV/atom



VASP calculation (PBE) on a geometry-optimized Ca2Ag2O structure. Values from VASP.

```
&SYSTEM
  ibrav = 0, nat = 10, ntyp = 3
/
ATOMIC_SPECIES
Ca 40.08 Ca.upf
Ag 107.87 Ag.upf
O 16.00 O.upf
CELL_PARAMETERS angstrom
7.484 0.000 0.000
0.000 7.484 0.000
0.000 0.000 4.062
ATOMIC_POSITIONS angstrom
Ca 6.135 2.393 2.031
Ag 2.791 6.533 0.000
Ag 0.950 2.791 0.000
Ca 1.348 5.090 2.031
O 0.000 0.000 0.000
Ca 5.090 6.135 2.031
Ag 4.692 0.950 0.000
Ca 2.393 1.348 2.031
O 3.742 3.742 0.000
Ag 6.533 4.692 0.000
```

## Properties
Symmetry   P4/mbm (127)
Uncorrected formation energy   -242 meV/atom



VASP calculation (PBE) on a geometry-optimized Ca2AgO structure. Values from VASP.

```
&SYSTEM
  ibrav = 0, nat = 4, ntyp = 3
/
ATOMIC_SPECIES
Ca 40.08 Ca.upf
Ag 107.87 Ag.upf
O 16.00 O.upf
CELL_PARAMETERS angstrom
-1.394 -1.263 -2.511
0.293 -2.853 1.273
-6.701 0.794 3.322
ATOMIC_POSITIONS angstrom
Ca -1.295 0.153 0.642
Ca -5.407 0.640 2.680
Ag -3.901 -1.661 1.042
O -0.551 -2.058 -0.619
```

## Properties
Symmetry   P4/mmm (123)
Uncorrected formation energy   -1175 meV/atom



VASP calculation (PBE) on a geometry-optimized CaAg3O structure. Values from VASP.

```
&SYSTEM
  ibrav = 0, nat = 5, ntyp = 3
/
ATOMIC_SPECIES
O 16.00 O.upf
Ca 40.08 Ca.upf
Ag 107.87 Ag.upf
CELL_PARAMETERS angstrom
4.644 0.000 0.000
0.000 4.644 0.000
0.000 0.000 4.644
ATOMIC_POSITIONS angstrom
O 0.000 0.000 0.000
Ca 2.322 2.322 2.322
Ag 2.322 0.000 0.000
Ag 0.000 0.000 2.322
Ag 0.000 2.322 0.000
```

## Properties
Symmetry   Pm-3m (221)
Uncorrected formation energy   -73 meV/atom



VASP calculation (PBE) on a geometry-optimized CaAg3O structure. Values from VASP.

```
&SYSTEM
  ibrav = 0, nat = 5, ntyp = 3
/
ATOMIC_SPECIES
Ag 107.87 Ag.upf
O 16.00 O.upf
Ca 40.08 Ca.upf
CELL_PARAMETERS angstrom
5.456 0.000 0.000
0.000 5.456 0.000
0.000 0.000 5.456
ATOMIC_POSITIONS angstrom
Ag 2.728 0.000 0.000
O 2.728 2.728 2.728
Ag 0.000 0.000 2.728
Ag 0.000 2.728 0.000
Ca 0.000 0.000 0.000
```

## Properties
Symmetry   Pm-3m (221)
Uncorrected formation energy   1366 meV/atom



VASP calculation (PBE) on a geometry-optimized Ca2AgO structure. Values from VASP.

```
&SYSTEM
  ibrav = 0, nat = 8, ntyp = 3
/
ATOMIC_SPECIES
Ca 40.08 Ca.upf
O 16.00 O.upf
Ag 107.87 Ag.upf
CELL_PARAMETERS angstrom
-5.062 3.615 2.726
-4.362 -4.992 -1.480
-3.955 -2.467 4.388
ATOMIC_POSITIONS angstrom
Ca -10.756 -2.532 4.536
Ca -6.956 -2.888 3.604
O -6.514 -4.073 1.765
O -4.712 -0.688 0.623
Ag 0.000 0.000 0.000
Ag -6.865 0.230 3.869
Ca -4.169 0.641 2.331
Ca -4.877 -2.906 0.798
```

## Properties
Symmetry   I-42d (122)
Uncorrected formation energy   -1426 meV/atom